# 1
Crystalline Bi3Te12P5 at its relaxed geometry, computed with GGA-PBE.

The uncorrected formation energy is 197 meV/atom. The density of states at the Fermi level comes out at 55.3 states/eV/cell. The calculation puts the total energy at -3.622 eV per atom.

The space group is Ia-3d (No. 230) and the conventional cell measures 17.3408, 17.3408 and 17.3408 Å, with angles of 90.00, 90.00 and 90.00 degrees. The distinct sites, in fractional coordinates, are Bi at (0.0000, 0.2500, 0.1250), Te at (0.0274, 0.0590, 0.6493), P at (0.0000, 0.0000, 0.0000) and P at (0.0000, 0.2500, 0.3750).

# 2
Crystalline SbSO at its relaxed geometry, computed with GGA-PBE.

The uncorrected formation energy is -513 meV/atom. Its energy above the most stable polymorph in this dataset is 0.000 eV per atom. The density of states at the Fermi level comes out at 5.1 states/eV/cell. The calculation puts the total energy at -4.915 eV per atom.

The space group is C2/m (No. 12) and the conventional cell measures 5.0385, 5.0385 and 8.2049 Å, with angles of 90.00, 90.02 and 90.00 degrees. The distinct sites, in fractional coordinates, are Sb at (0.2494, 0.0000, 0.3361), S at (0.2497, 0.0000, 0.8175) and O at (0.0000, 0.2501, 0.5000).

# 3
Crystalline ZnSi2Br at its relaxed geometry, computed with GGA-PBE.

The uncorrected formation energy is 228 meV/atom. Its energy above the most stable polymorph in this dataset is 0.163 eV per atom. The density of states at the Fermi level comes out at 1.8 states/eV/cell. The calculation puts the total energy at -3.220 eV per atom.

The space group is Cm (No. 8) and the conventional cell measures 12.6667, 3.6851 and 3.8192 Å, with angles of 90.00, 90.51 and 90.00 degrees. The distinct sites, in fractional coordinates, are Zn at (0.0000, 0.0000, 0.0000), Si at (0.0384, 0.5000, 0.4995), Si at (0.1506, 0.0000, 0.5081) and Br at (0.3070, 0.5000, 0.9955).

# 4
Crystalline PrSbAs at its relaxed geometry, computed with GGA-PBE.

The uncorrected formation energy is -802 meV/atom. The density of states at the Fermi level comes out at 3.6 states/eV/cell. The calculation puts the total energy at -5.319 eV per atom.

The space group is Cmme (No. 67) and the conventional cell measures 6.2084, 6.4747 and 8.3713 Å, with angles of 90.00, 90.00 and 90.00 degrees. The distinct sites, in fractional coordinates, are Pr at (0.0000, 0.2500, 0.1678), Sb at (0.0000, 0.0000, 0.5000) and As at (0.0000, 0.2500, 0.8110).

# 5
Crystalline Nd4CuPI2 at its relaxed geometry, computed with GGA-PBE.

The uncorrected formation energy is -925 meV/atom. The density of states at the Fermi level comes out at 5.3 states/eV/cell. The calculation puts the total energy at -4.885 eV per atom.

The space group is P2/m (No. 10) and the conventional cell measures 7.4672, 4.1510 and 8.0787 Å, with angles of 90.00, 106.74 and 90.00 degrees. The distinct sites, in fractional coordinates, are Nd at (0.2235, 0.0000, 0.1962), Nd at (0.2733, 0.5000, 0.8050), Cu at (0.5000, 0.0000, 0.0000), P at (0.0000, 0.5000, 0.0000), I at (0.0000, 0.0000, 0.5000) and I at (0.5000, 0.5000, 0.5000).

# 6
Crystalline Pm4Ho3Mg2 at its relaxed geometry, computed with GGA-PBE.

The value obtained for the energy of formation is 0.0064 eV per atom. The density of states at the Fermi level comes out at 19.9 states/eV/cell. The calculation puts the total energy at -3.985 eV per atom.

The space group is C2/m (No. 12) and the conventional cell measures 15.0773, 5.0346 and 7.7654 Å, with angles of 90.00, 108.86 and 90.00 degrees. The distinct sites, in fractional coordinates, are Pm at (0.0530, 0.0000, 0.3300), Pm at (0.2222, 0.5000, 0.3272), Ho at (0.0000, 0.5000, 0.0000), Ho at (0.1115, 0.5000, 0.6695) and Mg at (0.1681, 0.0000, 0.9987).

# 7
Crystalline AcLaEr at its relaxed geometry, computed with GGA-PBE.

The value obtained for the energy of formation is 0.0584 eV per atom. Its energy above the most stable polymorph in this dataset is 0.004 eV per atom. The density of states at the Fermi level comes out at 5.2 states/eV/cell. The calculation puts the total energy at -4.475 eV per atom.

The space group is P3m1 (No. 156) and the conventional cell measures 3.7712, 3.7712 and 9.1329 Å, with angles of 90.00, 90.00 and 120.00 degrees. The distinct sites, in fractional coordinates, are Ac at (0.0000, 0.0000, 0.0000), La at (0.3333, 0.6667, 0.6454) and Er at (0.6667, 0.3333, 0.3288).

# 8
Crystalline SbMo4Pt at its relaxed geometry, computed with GGA-PBE.

The uncorrected formation energy is 398 meV/atom. The density of states at the Fermi level comes out at 21.3 states/eV/cell. The calculation puts the total energy at -8.517 eV per atom.

The space group is F-43m (No. 216) and the conventional cell measures 7.4597, 7.4597 and 7.4597 Å, with angles of 90.00, 90.00 and 90.00 degrees. The distinct sites, in fractional coordinates, are Sb at (0.0000, 0.0000, 0.0000), Mo at (0.1243, 0.1243, 0.6243) and Pt at (0.2500, 0.2500, 0.2500).

# 9
Crystalline AgSe5 at its relaxed geometry, computed with GGA-PBE.

The uncorrected formation energy is 126 meV/atom. Its energy above the most stable polymorph in this dataset is 0.058 eV per atom. The density of states at the Fermi level comes out at 4.0 states/eV/cell. The calculation puts the total energy at -3.253 eV per atom.

The space group is Cm (No. 8) and the conventional cell measures 12.7832, 3.6511 and 7.0114 Å, with angles of 90.00, 102.78 and 90.00 degrees. The distinct sites, in fractional coordinates, are Ag at (0.0000, 0.0000, 0.0000), Se at (0.0227, 0.5000, 0.5324), Se at (0.1099, 0.5000, 0.8674), Se at (0.1757, 0.0000, 0.4278), Se at (0.3004, 0.5000, 0.3640) and Se at (0.3818, 0.0000, 0.0976).

# 10
Crystalline Mn3HgAs at its relaxed geometry, computed with GGA-PBE.

The value obtained for the energy of formation is 0.4849 eV per atom. Its energy above the most stable polymorph in this dataset is 0.000 eV per atom. The density of states at the Fermi level comes out at 3.3 states/eV/cell. The calculation puts the total energy at -6.007 eV per atom.

The space group is Pm-3m (No. 221) and the conventional cell measures 4.6459, 4.6459 and 4.6459 Å, with angles of 90.00, 90.00 and 90.00 degrees. The distinct sites, in fractional coordinates, are Mn at (0.0000, 0.0000, 0.5000), Hg at (0.5000, 0.5000, 0.5000) and As at (0.0000, 0.0000, 0.0000).

# 11
Crystalline CaAc6Pb4 at its relaxed geometry, computed with GGA-PBE.

The value obtained for the energy of formation is -0.2350 eV per atom. The density of states at the Fermi level comes out at 22.3 states/eV/cell. The calculation puts the total energy at -4.006 eV per atom.

The space group is I-42m (No. 121) and the conventional cell measures 8.6538, 8.6538 and 12.9065 Å, with angles of 90.00, 90.00 and 90.00 degrees. The distinct sites, in fractional coordinates, are Ca at (0.0000, 0.0000, 0.0000), Ac at (0.0000, 0.5000, 0.0000), Ac at (0.1584, 0.1584, 0.3306) and Pb at (0.2264, 0.2264, 0.5971).

# 12
Crystalline Ac2Al3Zn4Cd at its relaxed geometry, computed with GGA-PBE.

The value obtained for the energy of formation is -0.3540 eV per atom. The density of states at the Fermi level comes out at 3.9 states/eV/cell. The calculation puts the total energy at -2.900 eV per atom.

The space group is P-4m2 (No. 115) and the conventional cell measures 4.4949, 4.4949 and 10.9392 Å, with angles of 90.00, 90.00 and 90.00 degrees. The distinct sites, in fractional coordinates, are Ac at (0.0000, 0.5000, 0.2397), Al at (0.0000, 0.5000, 0.8754), Al at (0.5000, 0.5000, 0.5000), Zn at (0.0000, 0.0000, 0.0000), Zn at (0.0000, 0.5000, 0.6404), Zn at (0.5000, 0.5000, 0.0000) and Cd at (0.0000, 0.0000, 0.5000).

# 13
Crystalline LiY2Ir at its relaxed geometry, computed with GGA-PBE.

The value obtained for the energy of formation is -0.1524 eV per atom. The density of states at the Fermi level comes out at 10.4 states/eV/cell. The calculation puts the total energy at -6.078 eV per atom.

The space group is F-43m (No. 216) and the conventional cell measures 6.8556, 6.8556 and 6.8556 Å, with angles of 90.00, 90.00 and 90.00 degrees. The distinct sites, in fractional coordinates, are Li at (0.0000, 0.0000, 0.0000), Y at (0.0000, 0.0000, 0.5000), Y at (0.2500, 0.2500, 0.7500) and Ir at (0.2500, 0.2500, 0.2500).

# 14
Crystalline TcPt2Br at its relaxed geometry, computed with GGA-PBE.

The uncorrected formation energy is 210 meV/atom. Its energy above the most stable polymorph in this dataset is 0.000 eV per atom. The density of states at the Fermi level comes out at 2.4 states/eV/cell. The calculation puts the total energy at -5.820 eV per atom.

The space group is Pmmm (No. 47) and the conventional cell measures 2.8290, 2.9231 and 8.4658 Å, with angles of 90.00, 90.00 and 90.00 degrees. The distinct sites, in fractional coordinates, are Tc at (0.0000, 0.0000, 0.0000), Pt at (0.5000, 0.5000, 0.2134) and Br at (0.5000, 0.0000, 0.5000).

# 15
Crystalline MnAg4Se at its relaxed geometry, computed with GGA-PBE.

The uncorrected formation energy is 304 meV/atom. The density of states at the Fermi level comes out at 5.7 states/eV/cell. The calculation puts the total energy at -3.706 eV per atom.

The space group is F-43m (No. 216) and the conventional cell measures 7.7800, 7.7800 and 7.7800 Å, with angles of 90.00, 90.00 and 90.00 degrees. The distinct sites, in fractional coordinates, are Mn at (0.0000, 0.0000, 0.0000), Ag at (0.1254, 0.1254, 0.6254) and Se at (0.2500, 0.2500, 0.2500).

# 16
Crystalline Tb5Er4Sc4 at its relaxed geometry, computed with GGA-PBE.

The value obtained for the energy of formation is 0.0433 eV per atom. The density of states at the Fermi level comes out at 39.7 states/eV/cell. The calculation puts the total energy at -5.090 eV per atom.

The space group is I4/m (No. 87) and the conventional cell measures 12.4431, 12.4431 and 4.8822 Å, with angles of 90.00, 90.00 and 90.00 degrees. The distinct sites, in fractional coordinates, are Tb at (0.0000, 0.0000, 0.0000), Tb at (0.0417, 0.8071, 0.5000), Er at (0.0781, 0.6175, 0.0000) and Sc at (0.1556, 0.2327, 0.0000).

# 17
Crystalline CsThReO6 at its relaxed geometry, computed with GGA-PBE.

The uncorrected formation energy is -2335 meV/atom. The density of states at the Fermi level comes out at 0.0 states/eV/cell. The calculation puts the total energy at -7.943 eV per atom.

The space group is P312 (No. 149) and the conventional cell measures 5.7916, 5.7916 and 6.5420 Å, with angles of 90.00, 90.00 and 120.00 degrees. The distinct sites, in fractional coordinates, are Cs at (0.0000, 0.0000, 0.0000), Th at (0.3333, 0.6667, 0.5000), Re at (0.6667, 0.3333, 0.5000) and O at (0.4140, 0.0494, 0.6677).

# 18
Crystalline Cs2KGeAu at its relaxed geometry, computed with GGA-PBE.

The value obtained for the energy of formation is -0.0217 eV per atom. The density of states at the Fermi level comes out at 3.4 states/eV/cell. The calculation puts the total energy at -2.162 eV per atom.

The space group is P4/mmm (No. 123) and the conventional cell measures 7.4035, 7.4035 and 4.8420 Å, with angles of 90.00, 90.00 and 90.00 degrees. The distinct sites, in fractional coordinates, are Cs at (0.0000, 0.5000, 0.0000), K at (0.0000, 0.0000, 0.5000), Ge at (0.5000, 0.5000, 0.5000) and Au at (0.5000, 0.5000, 0.0000).

# 19
Crystalline BaLaCr2 at its relaxed geometry, computed with GGA-PBE.

The value obtained for the energy of formation is 0.9359 eV per atom. Its energy above the most stable polymorph in this dataset is 0.381 eV per atom. The density of states at the Fermi level comes out at 12.2 states/eV/cell. The calculation puts the total energy at -5.588 eV per atom.

The space group is R-3m (No. 166, hexagonal axes) and the conventional cell measures 3.8339, 3.8339 and 29.5072 Å, with angles of 90.00, 90.00 and 120.00 degrees. The distinct sites, in fractional coordinates, are Ba at (0.0000, 0.0000, 0.0000), La at (0.0000, 0.0000, 0.5000) and Cr at (0.0000, 0.0000, 0.2433).

# 20
Crystalline Dy3ScTe at its relaxed geometry, computed with GGA-PBE.

The uncorrected formation energy is -338 meV/atom. The density of states at the Fermi level comes out at 24.2 states/eV/cell. The calculation puts the total energy at -4.994 eV per atom.

The space group is C2/m (No. 12) and the conventional cell measures 11.7827, 5.6461 and 9.0002 Å, with angles of 90.00, 96.25 and 90.00 degrees. The distinct sites, in fractional coordinates, are Dy at (0.0656, 0.0000, 0.3424), Dy at (0.1254, 0.5000, 0.6460), Dy at (0.1395, 0.0000, 0.9547), Sc at (0.0751, 0.5000, 0.1438) and Te at (0.2267, 0.0000, 0.6363).